(1)
{
  "formula": "TbErZn4",
  "functional": "PBE-GGA",
  "state": "relaxed",
  "e_above_lowest_polymorph_ev_per_atom": 0.000,
  "total_energy_ev_per_atom": -2.758,
  "formation_energy_ev_per_atom": -0.376,
  "space_group": "Immm, No. 71",
  "lattice_angstrom": [[-2.2431, 3.4774, 3.8660], [2.2431, -3.4774, 3.8660], [2.2431, 3.4774, -3.8660]],
  "species": ["Tb", "Er", "Zn", "Zn", "Zn", "Zn"],
  "fractional_positions": [[0.0000, 0.0000, 0.0000], [0.5000, 0.0000, 0.5000], [0.0833, 0.3335, 0.7498], [0.4164, 0.6665, 0.7498], [0.5836, 0.3335, 0.2502], [0.9167, 0.6665, 0.2502]]
}

=====

(2)
{
  "formula": "Tb2Er6Zn",
  "functional": "PBE-GGA",
  "state": "relaxed",
  "total_energy_ev_per_atom": -4.181,
  "formation_energy_ev_per_atom": 0.032,
  "space_group": "P2_1/c, No. 14",
  "lattice_angstrom": [[5.3062, 0.0000, 0.0000], [0.0000, 9.7795, 0.0000], [-5.2981, 0.0000, 10.0778]],
  "species": ["Tb", "Tb", "Tb", "Tb", "Er", "Er", "Er", "Er", "Er", "Er", "Er", "Er", "Er", "Er", "Er", "Er", "Zn", "Zn"],
  "fractional_positions": [[0.2359, 0.1985, 0.2357], [0.2359, 0.3015, 0.7357], [0.7641, 0.6985, 0.2643], [0.7641, 0.8015, 0.7643], [0.1104, 0.6306, 0.6105], [0.1104, 0.8694, 0.1105], [0.1849, 0.5250, 0.1847], [0.1849, 0.9750, 0.6847], [0.4382, 0.6855, 0.9386], [0.4382, 0.8145, 0.4386], [0.5618, 0.1855, 0.5614], [0.5618, 0.3145, 0.0614], [0.8151, 0.0250, 0.3153], [0.8151, 0.4750, 0.8153], [0.8896, 0.1306, 0.8895], [0.8896, 0.3694, 0.3895], [0.5000, 0.0000, 0.0000], [0.5000, 0.5000, 0.5000]]
}

=====

(3)
{
  "formula": "Tb2ErZr",
  "functional": "PBE-GGA",
  "state": "relaxed",
  "e_above_lowest_polymorph_ev_per_atom": 0.130,
  "total_energy_ev_per_atom": -5.383,
  "formation_energy_ev_per_atom": 0.210,
  "space_group": "Fm-3m, No. 225",
  "lattice_angstrom": [[0.0000, 3.8850, 3.8850], [3.8850, 0.0000, 3.8850], [3.8850, 3.8850, 0.0000]],
  "species": ["Tb", "Tb", "Er", "Zr"],
  "fractional_positions": [[0.2500, 0.2500, 0.2500], [0.7500, 0.7500, 0.7500], [0.0000, 0.0000, 0.0000], [0.5000, 0.5000, 0.5000]]
}

=====

Number 3 is which compound?
Tb2ErZr

=====

Please write out number 3 again, unchanged.
{
  "formula": "Tb2ErZr",
  "functional": "PBE-GGA",
  "state": "relaxed",
  "e_above_lowest_polymorph_ev_per_atom": 0.130,
  "total_energy_ev_per_atom": -5.383,
  "formation_energy_ev_per_atom": 0.210,
  "space_group": "Fm-3m, No. 225",
  "lattice_angstrom": [[0.0000, 3.8850, 3.8850], [3.8850, 0.0000, 3.8850], [3.8850, 3.8850, 0.0000]],
  "species": ["Tb", "Tb", "Er", "Zr"],
  "fractional_positions": [[0.2500, 0.2500, 0.2500], [0.7500, 0.7500, 0.7500], [0.0000, 0.0000, 0.0000], [0.5000, 0.5000, 0.5000]]
}